Computed, not measured: a relaxed TmTiRh2 crystal at the PBE-GGA level of DFT.

a = 3.174 Å, b = 3.174 Å, c = 6.799 Å
α = 90.00°, β = 90.00°, γ = 90.00°
Element x y z (fractional)
Tm  0.000  0.000  0.000
Ti  0.000  0.000  0.500
Rh  0.500  0.500  0.282
Rh  0.500  0.500  0.718

## Properties
* energy of formation: -0.8238 eV/atom
* calculated total energy: -7.591 eV/atom